Run i
Below is a relaxed PrSm6Er3 crystal, with properties calculated at the PBE level.

abc: 6.2757 11.0770 11.0770
angles: 120.23 90.00 90.00
Closest atoms and distances in Å follow each position.
Fractional coordinates of all 20 atoms:
1 Pr 0.1170 0.1973 0.8027  7 Sm 3.29-3.67, 3 Er 3.30-3.62
2 Pr 0.6170 0.8027 0.1973  7 Sm 3.29-3.67, 3 Er 3.30-3.62
3 Sm 0.0437 0.7087 0.6255  4 Er 3.46-3.71, 5 Sm 3.48-3.80
4 Sm 0.5437 0.6255 0.7087  4 Er 3.46-3.71, 5 Sm 3.48-3.80
5 Sm 0.3714 0.5289 0.9471  3 Sm 3.14-3.51, 1 Pr 3.29, 1 Er 3.30
6 Sm 0.8714 0.9471 0.5289  3 Sm 3.14-3.51, 1 Pr 3.29, 1 Er 3.30
7 Sm 0.3872 0.9608 0.0392  1 Pr 3.36, 2 Sm 3.48, 4 Er 3.53-3.58
8 Sm 0.6435 0.2806 0.7194  4 Sm 3.14-3.51, 1 Pr 3.38, 1 Er 3.41
9 Sm 0.1435 0.7194 0.2806  4 Sm 3.14-3.51, 1 Pr 3.38, 1 Er 3.41
10 Sm 0.8872 0.0392 0.9608  1 Pr 3.36, 2 Sm 3.48, 4 Er 3.53-3.58
11 Sm 0.3714 0.0529 0.4711  3 Sm 3.14-3.51, 1 Pr 3.29, 1 Er 3.30
12 Sm 0.8714 0.4711 0.0529  3 Sm 3.14-3.51, 1 Pr 3.29, 1 Er 3.30
13 Sm 0.0437 0.3745 0.2913  4 Er 3.46-3.71, 5 Sm 3.48-3.80
14 Sm 0.5437 0.2913 0.3745  4 Er 3.46-3.71, 5 Sm 3.48-3.80
15 Er 0.4623 0.9408 0.7133  6 Sm 3.30-3.58, 1 Pr 3.30, 1 Er 3.69
16 Er 0.9623 0.7133 0.9408  6 Sm 3.30-3.58, 1 Pr 3.30, 1 Er 3.69
17 Er 0.0829 0.3853 0.6147  7 Sm 3.41-3.71, 1 Pr 3.62, 2 Er 3.69
18 Er 0.5829 0.6147 0.3853  7 Sm 3.41-3.71, 1 Pr 3.62, 2 Er 3.69
19 Er 0.9623 0.0592 0.2867  6 Sm 3.30-3.58, 1 Pr 3.30, 1 Er 3.69
20 Er 0.4623 0.2867 0.0592  6 Sm 3.30-3.58, 1 Pr 3.30, 1 Er 3.69

Run ii
Below is a relaxed PrSm6Er3 crystal, with properties calculated at the PBE level.

abc: 6.4500 11.7031 11.7031
angles: 130.76 90.00 90.00
Closest atoms and distances in Å follow each position.
Fractional coordinates of all 20 atoms:
1 Pr 0.0062 0.1588 0.8412  4 Sm 3.31-3.60, 2 Er 3.57
2 Pr 0.5062 0.8412 0.1588  4 Sm 3.31-3.60, 2 Er 3.57
3 Sm 0.0774 0.7371 0.6203  3 Er 3.35-3.58, 3 Sm 3.49-3.74
4 Sm 0.5774 0.6203 0.7371  3 Er 3.35-3.58, 3 Sm 3.49-3.74
5 Sm 0.3296 0.4560 0.8929  3 Er 3.33-3.68, 3 Sm 3.40-3.64, 1 Pr 3.60
6 Sm 0.8296 0.8929 0.4560  3 Er 3.33-3.68, 3 Sm 3.40-3.64, 1 Pr 3.60
7 Sm 0.2983 0.9851 0.0149  2 Sm 3.29, 1 Pr 3.34, 4 Er 3.53-3.64
8 Sm 0.7980 0.3012 0.6988  1 Er 3.16, 1 Pr 3.31, 2 Sm 3.49
9 Sm 0.2980 0.6988 0.3012  1 Er 3.16, 1 Pr 3.31, 2 Sm 3.49
10 Sm 0.7983 0.0149 0.9851  2 Sm 3.29, 1 Pr 3.34, 4 Er 3.53-3.64
11 Sm 0.3296 0.1071 0.5440  3 Er 3.33-3.68, 3 Sm 3.40-3.64, 1 Pr 3.60
12 Sm 0.8296 0.5440 0.1071  3 Er 3.33-3.68, 3 Sm 3.40-3.64, 1 Pr 3.60
13 Sm 0.0774 0.3797 0.2629  3 Er 3.35-3.58, 3 Sm 3.49-3.74
14 Sm 0.5774 0.2629 0.3797  3 Er 3.35-3.58, 3 Sm 3.49-3.74
15 Er 0.4849 0.9573 0.7042  2 Er 3.30-3.44, 5 Sm 3.33-3.64, 1 Pr 3.57
16 Er 0.9849 0.7042 0.9573  2 Er 3.30-3.44, 5 Sm 3.33-3.64, 1 Pr 3.57
17 Er 0.0991 0.4183 0.5817  3 Sm 3.16-3.46, 2 Er 3.44
18 Er 0.5991 0.5817 0.4183  3 Sm 3.16-3.46, 2 Er 3.44
19 Er 0.9849 0.0427 0.2958  2 Er 3.30-3.44, 5 Sm 3.33-3.64, 1 Pr 3.57
20 Er 0.4849 0.2958 0.0427  2 Er 3.30-3.44, 5 Sm 3.33-3.64, 1 Pr 3.57

Short version: run i is the least stable of them.

Run i
Below is a relaxed Pr4Sm2Er5 crystal, with properties calculated at the PBE level.

abc: 5.8675 6.3960 10.2190
angles: 94.37 106.68 90.00
Closest atoms and distances in Å follow each position.
Fractional coordinates of all 11 atoms:
1 Pr 0.3073 0.9274 0.6146  8 Er 3.43-3.76, 2 Sm 3.67-3.71
2 Pr 0.9649 0.7345 0.9298  5 Er 3.29-3.55, 2 Pr 3.40-3.56, 2 Sm 3.61
3 Pr 0.6927 0.0726 0.3854  8 Er 3.43-3.76, 2 Sm 3.67-3.71
4 Pr 0.0351 0.2655 0.0702  5 Er 3.29-3.55, 2 Pr 3.40-3.56, 2 Sm 3.61
5 Sm 0.4016 0.4536 0.8033  7 Er 3.55-3.89, 4 Pr 3.61-3.71, 1 Sm 3.85
6 Sm 0.5984 0.5464 0.1967  7 Er 3.55-3.89, 4 Pr 3.61-3.71, 1 Sm 3.85
7 Er 0.7851 0.6067 0.5702  4 Er 3.46-3.71, 5 Pr 3.55-3.74, 1 Sm 3.65
8 Er 0.2149 0.3933 0.4298  4 Er 3.46-3.71, 5 Pr 3.55-3.74, 1 Sm 3.65
9 Er 0.8682 0.1490 0.7365  5 Pr 3.29-3.43, 1 Er 3.46, 2 Sm 3.55
10 Er 0.5000 0.0000 0.0000  6 Pr 3.43-3.76, 2 Sm 3.61
11 Er 0.1318 0.8510 0.2635  5 Pr 3.29-3.43, 1 Er 3.46, 2 Sm 3.55

Run ii
Below is a relaxed Pr4Sm2Er5 crystal, with properties calculated at the PBE level.

abc: 3.5279 9.2677 12.5648
angles: 111.64 98.07 90.00
Closest atoms and distances in Å follow each position.
Fractional coordinates of all 11 atoms:
1 Pr 0.0000 0.2923 0.0000  4 Er 3.23-3.48, 6 Pr 3.43-3.53
2 Pr 0.5962 0.5962 0.1925  1 Sm 3.11, 4 Pr 3.43
3 Pr 0.0000 0.7077 0.0000  4 Er 3.23-3.48, 6 Pr 3.43-3.53
4 Pr 0.4038 0.4038 0.8075  1 Sm 3.11, 4 Pr 3.43
5 Sm 0.2693 0.2693 0.5386  1 Pr 3.11, 2 Er 3.38
6 Sm 0.7307 0.7307 0.4614  1 Pr 3.11, 2 Er 3.38
7 Er 0.8544 0.0497 0.7089  1 Sm 3.38, 3 Pr 3.48-3.52, 3 Er 3.53-3.62
8 Er 0.8544 0.6592 0.7089  1 Sm 3.38, 3 Pr 3.48-3.52, 3 Er 3.53-3.62
9 Er 0.1456 0.3408 0.2911  1 Sm 3.38, 3 Pr 3.48-3.52, 3 Er 3.53-3.62
10 Er 0.1456 0.9503 0.2911  1 Sm 3.38, 3 Pr 3.48-3.52, 3 Er 3.53-3.62
11 Er 0.5000 0.0000 0.0000  4 Pr 3.23, 2 Er 3.53

Short version: run ii is the least stable of them.

Run i
Below is a relaxed Pr3SmEr3 crystal, with properties calculated at the PBE level.

abc: 5.7979 9.6977 9.6977
angles: 120.00 90.00 90.00
Closest atoms and distances in Å follow each position.
Fractional coordinates of all 14 atoms:
1 Pr 0.7500 0.6223 0.5265  3 Sm 3.59-3.68, 5 Er 3.61-3.74, 4 Pr 3.62-3.67
2 Pr 0.7500 0.4735 0.0958  3 Sm 3.59-3.68, 5 Er 3.61-3.74, 4 Pr 3.62-3.67
3 Pr 0.7500 0.9042 0.3777  3 Sm 3.59-3.68, 5 Er 3.61-3.74, 4 Pr 3.62-3.67
4 Pr 0.2500 0.3777 0.4735  3 Sm 3.59-3.68, 5 Er 3.61-3.74, 4 Pr 3.62-3.67
5 Pr 0.2500 0.5265 0.9042  3 Sm 3.59-3.68, 5 Er 3.61-3.74, 4 Pr 3.62-3.67
6 Pr 0.2500 0.0958 0.6223  3 Sm 3.59-3.68, 5 Er 3.61-3.74, 4 Pr 3.62-3.67
7 Sm 0.2500 0.6667 0.3333  9 Pr 3.59-3.68, 3 Er 3.72
8 Sm 0.7500 0.3333 0.6667  9 Pr 3.59-3.68, 3 Er 3.72
9 Er 0.2500 0.8139 0.7682  6 Er 3.56-3.57, 5 Pr 3.61-3.74, 1 Sm 3.72
10 Er 0.2500 0.2318 0.0457  6 Er 3.56-3.57, 5 Pr 3.61-3.74, 1 Sm 3.72
11 Er 0.2500 0.9543 0.1861  6 Er 3.56-3.57, 5 Pr 3.61-3.74, 1 Sm 3.72
12 Er 0.7500 0.1861 0.2318  6 Er 3.56-3.57, 5 Pr 3.61-3.74, 1 Sm 3.72
13 Er 0.7500 0.7682 0.9543  6 Er 3.56-3.57, 5 Pr 3.61-3.74, 1 Sm 3.72
14 Er 0.7500 0.0457 0.8139  6 Er 3.56-3.57, 5 Pr 3.61-3.74, 1 Sm 3.72

Run ii
Below is a relaxed Pr3SmEr3 crystal, with properties calculated at the PBE level.

abc: 8.2804 8.2804 8.2804
angles: 69.29 69.29 69.29
Closest atoms and distances in Å follow each position.
Fractional coordinates of all 14 atoms:
1 Pr 0.7308 0.1651 0.8721  5 Er 3.43-3.60, 1 Sm 3.52, 4 Pr 3.57-3.61
2 Pr 0.1651 0.8721 0.7308  5 Er 3.43-3.60, 1 Sm 3.52, 4 Pr 3.57-3.61
3 Pr 0.8721 0.7308 0.1651  5 Er 3.43-3.60, 1 Sm 3.52, 4 Pr 3.57-3.61
4 Pr 0.1279 0.2692 0.8349  5 Er 3.43-3.60, 1 Sm 3.52, 4 Pr 3.57-3.61
5 Pr 0.8349 0.1279 0.2692  5 Er 3.43-3.60, 1 Sm 3.52, 4 Pr 3.57-3.61
6 Pr 0.2692 0.8349 0.1279  5 Er 3.43-3.60, 1 Sm 3.52, 4 Pr 3.57-3.61
7 Sm 0.4086 0.4086 0.4086  1 Sm 3.43, 6 Er 3.44-3.57, 3 Pr 3.52
8 Sm 0.5914 0.5914 0.5914  1 Sm 3.43, 6 Er 3.44-3.57, 3 Pr 3.52
9 Er 0.6903 0.5538 0.9752  3 Er 3.42-3.51, 5 Pr 3.43-3.60, 2 Sm 3.44-3.57
10 Er 0.9752 0.6903 0.5538  3 Er 3.42-3.51, 5 Pr 3.43-3.60, 2 Sm 3.44-3.57
11 Er 0.5538 0.9752 0.6903  3 Er 3.42-3.51, 5 Pr 3.43-3.60, 2 Sm 3.44-3.57
12 Er 0.4462 0.0248 0.3097  3 Er 3.42-3.51, 5 Pr 3.43-3.60, 2 Sm 3.44-3.57
13 Er 0.0248 0.3097 0.4462  3 Er 3.42-3.51, 5 Pr 3.43-3.60, 2 Sm 3.44-3.57
14 Er 0.3097 0.4462 0.0248  3 Er 3.42-3.51, 5 Pr 3.43-3.60, 2 Sm 3.44-3.57

Short version: run ii is the least stable of them.

Run i
Below is a relaxed Pr4Sm7Er crystal, with properties calculated at the PBE level.

abc: 6.0597 9.8238 8.7956
angles: 60.10 69.85 72.04
Closest atoms and distances in Å follow each position.
Fractional coordinates of all 12 atoms:
1 Pr 0.5758 0.2973 0.5512  4 Sm 3.33-3.67, 1 Pr 3.50
2 Pr 0.4242 0.7027 0.4488  4 Sm 3.33-3.67, 1 Pr 3.50
3 Pr 0.6749 0.6140 0.0363  7 Sm 3.30-3.63
4 Pr 0.3251 0.3860 0.9637  7 Sm 3.30-3.63
5 Sm 0.7912 0.8746 0.5429  3 Sm 3.27-3.61
6 Sm 0.2088 0.1254 0.4571  3 Sm 3.27-3.61
7 Sm 0.0797 0.5672 0.2734  3 Sm 3.38-3.72, 3 Pr 3.53-3.63, 1 Er 3.67
8 Sm 0.9203 0.4328 0.7266  3 Sm 3.38-3.72, 3 Pr 3.53-3.63, 1 Er 3.67
9 Sm 0.2071 0.7776 0.8081  1 Er 3.12, 2 Sm 3.27-3.46, 2 Pr 3.30-3.33
10 Sm 0.5000 0.0000 0.0000  2 Er 3.03
11 Sm 0.7929 0.2224 0.1919  1 Er 3.12, 2 Sm 3.27-3.46, 2 Pr 3.30-3.33
12 Er 0.0000 0.0000 0.0000  4 Sm 3.03-3.12

Run ii
Below is a relaxed Pr4Sm7Er crystal, with properties calculated at the PBE level.

abc: 6.9803 9.0281 9.2668
angles: 83.72 93.68 46.64
Closest atoms and distances in Å follow each position.
Fractional coordinates of all 12 atoms:
1 Pr 0.5506 0.6441 0.2817  8 Sm 3.41-3.81, 1 Er 3.44, 2 Pr 3.58
2 Pr 0.4494 0.3559 0.7183  8 Sm 3.41-3.81, 1 Er 3.44, 2 Pr 3.58
3 Pr 0.7678 0.8398 0.6905  7 Sm 3.42-3.80, 2 Pr 3.58
4 Pr 0.2322 0.1602 0.3095  7 Sm 3.42-3.80, 2 Pr 3.58
5 Sm 0.7360 0.5110 0.9493  4 Pr 3.43-3.81, 5 Sm 3.44-3.61, 1 Er 3.56
6 Sm 0.2640 0.4890 0.0507  4 Pr 3.43-3.81, 5 Sm 3.44-3.61, 1 Er 3.56
7 Sm 0.9871 0.3149 0.6416  5 Sm 3.44-3.79, 4 Pr 3.53-3.65
8 Sm 0.0129 0.6851 0.3584  5 Sm 3.44-3.79, 4 Pr 3.53-3.65
9 Sm 0.2922 0.8080 0.6176  5 Sm 3.35-3.71, 4 Pr 3.41-3.63
10 Sm 0.5000 0.0000 0.0000  4 Pr 3.42-3.71, 2 Er 3.49, 4 Sm 3.60-3.79
11 Sm 0.7078 0.1920 0.3824  5 Sm 3.35-3.71, 4 Pr 3.41-3.63
12 Er 0.0000 0.0000 0.0000  2 Pr 3.44, 4 Sm 3.49-3.56

Short version: run i is the least stable of them.